Material: LaNd3Sm6Y2
Method: DFT, GGA-PBE
State: optimized geometry

Results
The total energy is -5.023 eV/atom. The value obtained for the formation energy is 0.0168 eV/atom.

Cell: 6.3096 6.3096 12.1065 Å, 94.99 94.99 119.99°
Positions (direct):
La 0.0000 0.0000 0.0000
Nd 0.1671 0.8329 0.5000
Nd 0.5000 0.5000 0.5000
Nd 0.8329 0.1671 0.5000
Sm 0.0831 0.4170 0.2492
Sm 0.2509 0.2509 0.7506
Sm 0.4170 0.0831 0.2492
Sm 0.5830 0.9169 0.7508
Sm 0.7491 0.7491 0.2494
Sm 0.9169 0.5830 0.7508
Y 0.3334 0.6666 0.0000
Y 0.6666 0.3334 0.0000